Ce2AgHg2 | PBE-GGA | optimized geometry

Properties
N(E_F)   1.849 states/eV/atom
Density   10.85 g cm⁻³
Polymorph energy (0 for the lowest one)   67 meV/atom
V   241.5 Å³ per cell
SG   C2/m, No. 12

Cell lengths 3.834, 5.966, 12.267 Å; angles 65.40, 81.01, 71.26 degrees
Each line ends with the local moment (μB).
Element x y z (fractional)
Ce1 0.458 0.749 0.835  0.59
Ce2 0.958 0.249 0.335  0.59
Ce3 0.542 0.251 0.165  0.59
Ce4 0.042 0.751 0.665  0.59
Ag1 0.250 0.750 0.250  0.00
Ag2 0.750 0.250 0.750  0.00
Hg1 0.340 0.262 0.558  0.00
Hg2 0.160 0.238 0.942  0.00
Hg3 0.660 0.738 0.442  0.00
Hg4 0.840 0.762 0.058  0.00